(1)
This record from Alexandria via LeMat-Bulk describes a relaxed structure of ScCdCu2. The functional is GGA-PBEsol.

Summary:
As for the crystal system: cubic. The value obtained for the formation energy is -0.22 eV/atom. As for the magnetization: 0.000 μB/f.u. The calculation puts the total energy at -4.34 eV/atom.

Structure (CIF):
```
data_ScCdCu2
_chemical_formula_sum 'Sc4 Cd4 Cu8'
_cell_length_a 6.291
_cell_length_b 6.291
_cell_length_c 6.291
_cell_angle_alpha 90.00
_cell_angle_beta 90.00
_cell_angle_gamma 90.00
_space_group_name_H-M_alt 'F m -3 m'
_space_group_IT_number 225
_space_group_name_Hall '-F 4 2 3'
loop_
_atom_site_label
_atom_site_type_symbol
_atom_site_fract_x
_atom_site_fract_y
_atom_site_fract_z
Sc1 Sc 0.000 0.000 0.000
Cd1 Cd 0.000 0.000 0.500
Cu1 Cu 0.250 0.250 0.250
```

(2)
This record from Alexandria via LeMat-Bulk describes a relaxed structure of Li2Ca2Ta3O10. The functional is GGA-PBEsol.

Summary:
For the formation energy from raw total energies, the calculation gives -2823 meV per atom. As for the crystal system: tetragonal. As for the magnetization: 0.000 μB/f.u. The calculation puts the total energy at -8.61 eV/atom.

Structure (CIF):
```
data_Li2Ca2Ta3O10
_chemical_formula_sum 'Li4 Ca4 Ta6 O20'
_cell_length_a 3.950
_cell_length_b 3.950
_cell_length_c 26.105
_cell_angle_alpha 90.00
_cell_angle_beta 90.00
_cell_angle_gamma 90.00
_space_group_name_H-M_alt 'I 4/m m m'
_space_group_IT_number 139
_space_group_name_Hall '-I 4 2'
loop_
_atom_site_label
_atom_site_type_symbol
_atom_site_fract_x
_atom_site_fract_y
_atom_site_fract_z
Li1 Li 0.000 0.500 0.250
Ca1 Ca 0.000 0.000 0.085
Ta1 Ta 0.000 0.000 0.345
Ta2 Ta 0.000 0.000 0.500
O1 O 0.000 0.000 0.273
O2 O 0.000 0.000 0.425
O3 O 0.000 0.500 0.000
O4 O 0.000 0.500 0.145
```

(3)
This record from Alexandria via LeMat-Bulk describes a relaxed structure of NaSr2Cd2. The functional is GGA-PBEsol.

Summary:
As for the crystal system: tetragonal. The value obtained for the formation energy is -0.21 eV/atom. As for the magnetization: 0.000 μB/f.u. The calculation puts the total energy at -1.70 eV/atom.

Structure (CIF):
```
data_NaSr2Cd2
_chemical_formula_sum 'Na2 Sr4 Cd4'
_cell_length_a 8.592
_cell_length_b 8.592
_cell_length_c 4.607
_cell_angle_alpha 90.00
_cell_angle_beta 90.00
_cell_angle_gamma 90.00
_space_group_name_H-M_alt 'P 4/m b m'
_space_group_IT_number 127
_space_group_name_Hall '-P 4 2ab'
loop_
_atom_site_label
_atom_site_type_symbol
_atom_site_fract_x
_atom_site_fract_y
_atom_site_fract_z
Na1 Na 0.000 0.000 0.000
Sr1 Sr 0.169 0.331 0.500
Cd1 Cd 0.124 0.624 0.000
```

(4)
This record from Alexandria via LeMat-Bulk describes a relaxed structure of BeAgSb. The functional is GGA-PBEsol.

Summary:
For the formation energy from raw total energies, the calculation gives 374 meV per atom. As for the crystal system: tetragonal. As for the magnetization: 0.000 μB/f.u. The calculation puts the total energy at -3.58 eV/atom.

Structure (CIF):
```
data_BeAgSb
_chemical_formula_sum 'Be2 Ag2 Sb2'
_cell_length_a 3.030
_cell_length_b 3.030
_cell_length_c 11.528
_cell_angle_alpha 90.00
_cell_angle_beta 90.00
_cell_angle_gamma 90.00
_space_group_name_H-M_alt 'I 4 m m'
_space_group_IT_number 107
_space_group_name_Hall 'I 4 -2'
loop_
_atom_site_label
_atom_site_type_symbol
_atom_site_fract_x
_atom_site_fract_y
_atom_site_fract_z
Be1 Be 0.000 0.000 0.000
Ag1 Ag 0.000 0.000 0.392
Sb1 Sb 0.000 0.000 0.670
```